<a>
## Sm2ErAl6 (PBE)

Data for an optimized crystal structure of Sm2ErAl6.

Computed properties:
As for the space-group type: P6/mmm, No. 191. The density of states at the Fermi level comes out at 4.1 states/eV per cell. For the size of the total moment, the calculation gives 0.00 μB/f.u.

a = 7.9501 Å, b = 7.9501 Å, c = 3.5393 Å
α = 90.00°, β = 90.00°, γ = 120.00°
Fractional coordinates of all 9 atoms:
1 Sm 0.3333 0.6667 0.0000
2 Sm 0.6667 0.3333 0.0000
3 Er 0.0000 0.0000 0.0000
4 Al 0.0000 0.3314 0.5000
5 Al 0.0000 0.6686 0.5000
6 Al 0.3314 0.0000 0.5000
7 Al 0.3314 0.3314 0.5000
8 Al 0.6686 0.0000 0.5000
9 Al 0.6686 0.6686 0.5000

<b>
## Sm2ErAl6 (PBE)

Data for an optimized crystal structure of Sm2ErAl6.

Computed properties:
As for the space-group type: Immm, No. 71. The density of states at the Fermi level comes out at 5.5 states/eV per cell. For the size of the total moment, the calculation gives 0.00 μB/f.u.

a = 8.0254 Å, b = 8.0254 Å, c = 8.0254 Å
α = 148.02°, β = 127.10°, γ = 63.17°
Fractional coordinates of all 9 atoms:
1 Sm 0.1239 0.1239 0.0000
2 Sm 0.8761 0.8761 0.0000
3 Er 0.5000 0.0000 0.5000
4 Al 0.1250 0.3164 0.8086
5 Al 0.1934 0.5000 0.6934
6 Al 0.4922 0.6836 0.8086
7 Al 0.5078 0.3164 0.1914
8 Al 0.8066 0.5000 0.3066
9 Al 0.8750 0.6836 0.1914

So which one wins? Going from most stable to least: <a>, <b>.

<a>
## SmErAlTl (PBE)

Data for an optimized crystal structure of SmErAlTl.

Computed properties:
As for the space-group type: P4mm, No. 99. The density of states at the Fermi level comes out at 2.0 states/eV per cell. For the size of the total moment, the calculation gives 0.00 μB/f.u.

a = 3.6631 Å, b = 3.6631 Å, c = 7.7244 Å
α = 90.00°, β = 90.00°, γ = 90.00°
Fractional coordinates of all 4 atoms:
1 Sm 0.0000 0.0000 0.0000
2 Er 0.0000 0.0000 0.4709
3 Al 0.5000 0.5000 0.2438
4 Tl 0.5000 0.5000 0.7241

<b>
## SmErAlTl (PBE)

Data for an optimized crystal structure of SmErAlTl.

Computed properties:
As for the space-group type: F-43m, No. 216. The density of states at the Fermi level comes out at 5.1 states/eV per cell. For the size of the total moment, the calculation gives 0.01 μB/f.u.

a = 7.4639 Å, b = 7.4639 Å, c = 7.4639 Å
α = 90.00°, β = 90.00°, γ = 90.00°
Fractional coordinates of all 16 atoms:
1 Sm 0.0000 0.0000 0.0000
2 Sm 0.0000 0.5000 0.5000
3 Sm 0.5000 0.0000 0.5000
4 Sm 0.5000 0.5000 0.0000
5 Er 0.0000 0.0000 0.5000
6 Er 0.0000 0.5000 0.0000
7 Er 0.5000 0.0000 0.0000
8 Er 0.5000 0.5000 0.5000
9 Al 0.2500 0.2500 0.7500
10 Al 0.2500 0.7500 0.2500
11 Al 0.7500 0.2500 0.2500
12 Al 0.7500 0.7500 0.7500
13 Tl 0.2500 0.2500 0.2500
14 Tl 0.2500 0.7500 0.7500
15 Tl 0.7500 0.2500 0.7500
16 Tl 0.7500 0.7500 0.2500

So which one wins? Going from most stable to least: <a>, <b>.

<a>
## SrErAl2 (PBE)

Data for an optimized crystal structure of SrErAl2.

Computed properties:
As for the space-group type: Fm-3m, No. 225. The density of states at the Fermi level comes out at 12.1 states/eV per cell. For the size of the total moment, the calculation gives 0.00 μB/f.u.

a = 7.4848 Å, b = 7.4848 Å, c = 7.4848 Å
α = 90.00°, β = 90.00°, γ = 90.00°
Fractional coordinates of all 16 atoms:
1 Sr 0.0000 0.0000 0.0000
2 Sr 0.0000 0.5000 0.5000
3 Sr 0.5000 0.0000 0.5000
4 Sr 0.5000 0.5000 0.0000
5 Er 0.0000 0.0000 0.5000
6 Er 0.0000 0.5000 0.0000
7 Er 0.5000 0.0000 0.0000
8 Er 0.5000 0.5000 0.5000
9 Al 0.2500 0.2500 0.2500
10 Al 0.2500 0.2500 0.7500
11 Al 0.2500 0.7500 0.2500
12 Al 0.2500 0.7500 0.7500
13 Al 0.7500 0.2500 0.2500
14 Al 0.7500 0.2500 0.7500
15 Al 0.7500 0.7500 0.2500
16 Al 0.7500 0.7500 0.7500

<b>
## SrErAl2 (PBE)

Data for an optimized crystal structure of SrErAl2.

Computed properties:
As for the space-group type: P4/mmm, No. 123. The density of states at the Fermi level comes out at 2.1 states/eV per cell. For the size of the total moment, the calculation gives 0.00 μB/f.u.

a = 3.7362 Å, b = 3.7362 Å, c = 7.5454 Å
α = 90.00°, β = 90.00°, γ = 90.00°
Fractional coordinates of all 4 atoms:
1 Sr 0.0000 0.0000 0.0000
2 Er 0.0000 0.0000 0.5000
3 Al 0.5000 0.5000 0.2892
4 Al 0.5000 0.5000 0.7108

So which one wins? Going from most stable to least: <b>, <a>.

<a>
## SrErAl (PBE)

Data for an optimized crystal structure of SrErAl.

Computed properties:
As for the space-group type: P4/nmm, No. 129. The density of states at the Fermi level comes out at 4.4 states/eV per cell. For the size of the total moment, the calculation gives 0.00 μB/f.u.

a = 4.9862 Å, b = 4.9862 Å, c = 8.0175 Å
α = 90.00°, β = 90.00°, γ = 90.00°
Fractional coordinates of all 6 atoms:
1 Sr 0.2500 0.2500 0.1436
2 Sr 0.7500 0.7500 0.8564
3 Er 0.2500 0.7500 0.5000
4 Er 0.7500 0.2500 0.5000
5 Al 0.2500 0.2500 0.7211
6 Al 0.7500 0.7500 0.2789

<b>
## SrErAl (PBE)

Data for an optimized crystal structure of SrErAl.

Computed properties:
As for the space-group type: I4mm, No. 107. The density of states at the Fermi level comes out at 5.7 states/eV per cell. For the size of the total moment, the calculation gives 0.00 μB/f.u.

a = 3.7363 Å, b = 3.7363 Å, c = 13.4772 Å
α = 90.00°, β = 90.00°, γ = 90.00°
Fractional coordinates of all 6 atoms:
1 Sr 0.0000 0.0000 0.0000
2 Sr 0.5000 0.5000 0.5000
3 Er 0.0000 0.0000 0.2762
4 Er 0.5000 0.5000 0.7762
5 Al 0.0000 0.0000 0.6637
6 Al 0.5000 0.5000 0.1637

So which one wins? Going from most stable to least: <a>, <b>.

<a>
## ErTaAl2 (PBE)

Data for an optimized crystal structure of ErTaAl2.

Computed properties:
As for the space-group type: R-3m, No. 166. The density of states at the Fermi level comes out at 11.1 states/eV per cell. For the size of the total moment, the calculation gives 0.00 μB/f.u.

a = 3.0553 Å, b = 3.0553 Å, c = 29.5518 Å
α = 90.00°, β = 90.00°, γ = 120.00°
Fractional coordinates of all 12 atoms:
1 Er 0.0000 0.0000 0.0000
2 Er 0.3333 0.6667 0.6667
3 Er 0.6667 0.3333 0.3333
4 Ta 0.0000 0.0000 0.5000
5 Ta 0.3333 0.6667 0.1667
6 Ta 0.6667 0.3333 0.8333
7 Al 0.0000 0.0000 0.2428
8 Al 0.0000 0.0000 0.7572
9 Al 0.3333 0.6667 0.4238
10 Al 0.3333 0.6667 0.9095
11 Al 0.6667 0.3333 0.0905
12 Al 0.6667 0.3333 0.5762

<b>
## ErTaAl2 (PBE)

Data for an optimized crystal structure of ErTaAl2.

Computed properties:
As for the space-group type: P4/mmm, No. 123. The density of states at the Fermi level comes out at 2.1 states/eV per cell. For the size of the total moment, the calculation gives 0.00 μB/f.u.

a = 3.5050 Å, b = 3.5050 Å, c = 6.3792 Å
α = 90.00°, β = 90.00°, γ = 90.00°
Fractional coordinates of all 4 atoms:
1 Er 0.0000 0.0000 0.0000
2 Ta 0.0000 0.0000 0.5000
3 Al 0.5000 0.5000 0.2953
4 Al 0.5000 0.5000 0.7047

So which one wins? Going from most stable to least: <b>, <a>.

<a>
## Tb2Er3Al3 (PBE)

Data for an optimized crystal structure of Tb2Er3Al3.

Computed properties:
As for the space-group type: Pmmm, No. 47. The density of states at the Fermi level comes out at 8.1 states/eV per cell. For the size of the total moment, the calculation gives 0.00 μB/f.u.

a = 4.7658 Å, b = 4.7680 Å, c = 8.7983 Å
α = 90.00°, β = 90.00°, γ = 90.00°
Fractional coordinates of all 8 atoms:
1 Tb 0.0000 0.0000 0.2303
2 Tb 0.0000 0.0000 0.7697
3 Er 0.0000 0.5000 0.5000
4 Er 0.5000 0.5000 0.2250
5 Er 0.5000 0.5000 0.7750
6 Al 0.0000 0.5000 0.0000
7 Al 0.5000 0.0000 0.0000
8 Al 0.5000 0.0000 0.5000

<b>
## Tb2Er3Al3 (PBE)

Data for an optimized crystal structure of Tb2Er3Al3.

Computed properties:
As for the space-group type: Immm, No. 71. The density of states at the Fermi level comes out at 10.4 states/eV per cell. For the size of the total moment, the calculation gives 0.00 μB/f.u.

a = 3.6540 Å, b = 5.1104 Å, c = 21.4923 Å
α = 90.00°, β = 90.00°, γ = 90.00°
Fractional coordinates of all 16 atoms:
1 Tb 0.0000 0.0000 0.2301
2 Tb 0.0000 0.0000 0.7699
3 Tb 0.5000 0.5000 0.2699
4 Tb 0.5000 0.5000 0.7301
5 Er 0.0000 0.0000 0.0000
6 Er 0.0000 0.5000 0.1194
7 Er 0.0000 0.5000 0.8806
8 Er 0.5000 0.0000 0.3806
9 Er 0.5000 0.0000 0.6194
10 Er 0.5000 0.5000 0.5000
11 Al 0.0000 0.0000 0.5000
12 Al 0.0000 0.5000 0.3852
13 Al 0.0000 0.5000 0.6148
14 Al 0.5000 0.0000 0.1148
15 Al 0.5000 0.0000 0.8852
16 Al 0.5000 0.5000 0.0000

So which one wins? Going from most stable to least: <b>, <a>.

<a>
## Tb3Er2Al2 (PBE)

Data for an optimized crystal structure of Tb3Er2Al2.

Computed properties:
As for the space-group type: I4/mmm, No. 139. The density of states at the Fermi level comes out at 11.7 states/eV per cell. For the size of the total moment, the calculation gives 0.00 μB/f.u.

a = 3.5321 Å, b = 3.5321 Å, c = 30.3593 Å
α = 90.00°, β = 90.00°, γ = 90.00°
Fractional coordinates of all 14 atoms:
1 Tb 0.0000 0.0000 0.0000
2 Tb 0.0000 0.0000 0.1257
3 Tb 0.0000 0.0000 0.8743
4 Tb 0.5000 0.5000 0.3743
5 Tb 0.5000 0.5000 0.5000
6 Tb 0.5000 0.5000 0.6257
7 Er 0.0000 0.0000 0.2894
8 Er 0.0000 0.0000 0.7106
9 Er 0.5000 0.5000 0.2106
10 Er 0.5000 0.5000 0.7894
11 Al 0.0000 0.0000 0.4365
12 Al 0.0000 0.0000 0.5635
13 Al 0.5000 0.5000 0.0635
14 Al 0.5000 0.5000 0.9365

<b>
## Tb3Er2Al2 (PBE)

Data for an optimized crystal structure of Tb3Er2Al2.

Computed properties:
As for the space-group type: C2/m, No. 12. The density of states at the Fermi level comes out at 9.3 states/eV per cell. For the size of the total moment, the calculation gives 0.00 μB/f.u.

a = 9.1054 Å, b = 5.2600 Å, c = 8.3647 Å
α = 90.00°, β = 111.32°, γ = 90.00°
Fractional coordinates of all 14 atoms:
1 Tb 0.0000 0.0000 0.0000
2 Tb 0.1537 0.0000 0.4608
3 Tb 0.3463 0.5000 0.5392
4 Tb 0.5000 0.5000 0.0000
5 Tb 0.6537 0.5000 0.4608
6 Tb 0.8463 0.0000 0.5392
7 Er 0.0815 0.5000 0.7441
8 Er 0.4185 0.0000 0.2559
9 Er 0.5815 0.0000 0.7441
10 Er 0.9185 0.5000 0.2559
11 Al 0.2170 0.5000 0.1514
12 Al 0.2830 0.0000 0.8486
13 Al 0.7170 0.0000 0.1514
14 Al 0.7830 0.5000 0.8486

So which one wins? Going from most stable to least: <a>, <b>.

<a>
## Tb2Er2Al3 (PBE)

Data for an optimized crystal structure of Tb2Er2Al3.

Computed properties:
As for the space-group type: P-1, No. 2. The density of states at the Fermi level comes out at 6.7 states/eV per cell. For the size of the total moment, the calculation gives 0.04 μB/f.u.

a = 3.5971 Å, b = 6.0685 Å, c = 8.2804 Å
α = 85.21°, β = 89.97°, γ = 72.82°
Fractional coordinates of all 7 atoms:
1 Tb 0.2027 0.0954 0.1631
2 Tb 0.7973 0.9046 0.8369
3 Er 0.0597 0.3825 0.7010
4 Er 0.9403 0.6175 0.2990
5 Al 0.3351 0.8295 0.5423
6 Al 0.5000 0.5000 0.0000
7 Al 0.6649 0.1705 0.4577

<b>
## Tb2Er2Al3 (PBE)

Data for an optimized crystal structure of Tb2Er2Al3.

Computed properties:
As for the space-group type: Cmmm, No. 65. The density of states at the Fermi level comes out at 7.9 states/eV per cell. For the size of the total moment, the calculation gives 0.00 μB/f.u.

a = 3.5407 Å, b = 28.1165 Å, c = 3.5333 Å
α = 90.00°, β = 90.00°, γ = 90.00°
Fractional coordinates of all 14 atoms:
1 Tb 0.0000 0.1929 0.0000
2 Tb 0.0000 0.8071 0.0000
3 Tb 0.5000 0.3071 0.0000
4 Tb 0.5000 0.6929 0.0000
5 Er 0.0000 0.0636 0.0000
6 Er 0.0000 0.9364 0.0000
7 Er 0.5000 0.4364 0.0000
8 Er 0.5000 0.5636 0.0000
9 Al 0.0000 0.3718 0.5000
10 Al 0.0000 0.5000 0.5000
11 Al 0.0000 0.6282 0.5000
12 Al 0.5000 0.0000 0.5000
13 Al 0.5000 0.1282 0.5000
14 Al 0.5000 0.8718 0.5000

So which one wins? Going from most stable to least: <b>, <a>.